## TbLuMnCo (PBE-GGA)

Data for a relaxed TbLuMnCo crystal.

Total magnetic moment = 4.115 μB/cell
Space-group type = F-43m (216)
Electronic total energy = -6.32 eV per atom
ΔH_f (0 K) = 0.040 eV/atom

```
TbLuMnCo
1.0
4.838 0.000 0.000
2.419 4.190 0.000
2.419 1.397 3.950
Tb Mn Lu Co
1 1 1 1
direct
0.750 0.750 0.750 Tb
0.000 0.000 0.000 Mn
0.250 0.250 0.250 Lu
0.500 0.500 0.500 Co
```